# Sr3GeW SCAN PBEsol geometry
# Energy relative to the elements (meV per atom): 1188
# Energy relative to the lowest polymorph listed for this composition (meV/atom): 231
data_Sr3GeW
_chemical_formula_sum 'Sr3 Ge1 W1'
_cell_length_a 5.6242
_cell_length_b 5.6242
_cell_length_c 5.6242
_cell_angle_alpha 90.00
_cell_angle_beta 90.00
_cell_angle_gamma 90.00
_symmetry_space_group_name_H-M 'P m -3 m'
_symmetry_Int_Tables_number 221
_symmetry_space_group_name_Hall '-P 4 2 3'
loop_
_atom_site_label
_atom_site_type_symbol
_atom_site_fract_x
_atom_site_fract_y
_atom_site_fract_z
Sr1 Sr 0.0000 0.0000 0.5000
Ge1 Ge 0.5000 0.5000 0.5000
W1 W 0.0000 0.0000 0.0000

# KNiSb2 SCAN PBEsol geometry
# Energy relative to the lowest polymorph listed for this composition (meV/atom): 353
data_KNiSb2
_chemical_formula_sum 'K1 Ni1 Sb2'
_cell_length_a 3.5730
_cell_length_b 3.5730
_cell_length_c 7.9765
_cell_angle_alpha 90.00
_cell_angle_beta 90.00
_cell_angle_gamma 90.00
_symmetry_space_group_name_H-M 'P 4 m m'
_symmetry_Int_Tables_number 99
_symmetry_space_group_name_Hall 'P 4 -2'
loop_
_atom_site_label
_atom_site_type_symbol
_atom_site_fract_x
_atom_site_fract_y
_atom_site_fract_z
K1 K 0.0000 0.0000 0.0000
Ni1 Ni 0.5000 0.5000 0.3709
Sb1 Sb 0.0000 0.0000 0.4188
Sb2 Sb 0.5000 0.5000 0.6884

# GaSnHg2 SCAN PBEsol geometry
# Energy relative to the elements (meV per atom): 122
# Energy relative to the lowest polymorph listed for this composition (meV/atom): 0
data_GaSnHg2
_chemical_formula_sum 'Ga4 Sn4 Hg8'
_cell_length_a 4.1884
_cell_length_b 4.1884
_cell_length_c 21.2575
_cell_angle_alpha 90.00
_cell_angle_beta 90.00
_cell_angle_gamma 90.00
_symmetry_space_group_name_H-M 'I -4 2 d'
_symmetry_Int_Tables_number 122
_symmetry_space_group_name_Hall 'I -4 2bw'
loop_
_atom_site_label
_atom_site_type_symbol
_atom_site_fract_x
_atom_site_fract_y
_atom_site_fract_z
Ga1 Ga 0.0000 0.0000 0.0000
Sn1 Sn 0.0000 0.0000 0.5000
Hg1 Hg 0.2438 0.2500 0.1250

# NaTiSi2Mo SCAN PBEsol geometry
# Energy (eV/cell): -65.69
data_NaTiSi2Mo
_chemical_formula_sum 'Na1 Ti1 Si2 Mo1'
_cell_length_a 4.5181
_cell_length_b 4.5181
_cell_length_c 4.3022
_cell_angle_alpha 90.00
_cell_angle_beta 90.00
_cell_angle_gamma 90.00
_symmetry_space_group_name_H-M 'P 4/m m m'
_symmetry_Int_Tables_number 123
_symmetry_space_group_name_Hall '-P 4 2'
loop_
_atom_site_label
_atom_site_type_symbol
_atom_site_fract_x
_atom_site_fract_y
_atom_site_fract_z
Na1 Na 0.0000 0.0000 0.0000
Ti1 Ti 0.0000 0.0000 0.5000
Si1 Si 0.0000 0.5000 0.0000
Mo1 Mo 0.5000 0.5000 0.5000

# MnAl3Tc SCAN PBEsol geometry
# Energy relative to the elements (meV per atom): 674
data_MnAl3Tc
_chemical_formula_sum 'Mn1 Al3 Tc1'
_cell_length_a 4.3535
_cell_length_b 4.3535
_cell_length_c 4.3535
_cell_angle_alpha 90.00
_cell_angle_beta 90.00
_cell_angle_gamma 90.00
_symmetry_space_group_name_H-M 'P m -3 m'
_symmetry_Int_Tables_number 221
_symmetry_space_group_name_Hall '-P 4 2 3'
loop_
_atom_site_label
_atom_site_type_symbol
_atom_site_fract_x
_atom_site_fract_y
_atom_site_fract_z
Mn1 Mn 0.0000 0.0000 0.0000
Al1 Al 0.0000 0.0000 0.5000
Tc1 Tc 0.5000 0.5000 0.5000

# InHgF2 SCAN PBEsol geometry
# Energy (eV/cell): -452.97
data_InHgF2
_chemical_formula_sum 'In4 Hg4 F8'
_cell_length_a 6.3763
_cell_length_b 6.3763
_cell_length_c 6.3763
_cell_angle_alpha 90.00
_cell_angle_beta 90.00
_cell_angle_gamma 90.00
_symmetry_space_group_name_H-M 'F m -3 m'
_symmetry_Int_Tables_number 225
_symmetry_space_group_name_Hall '-F 4 2 3'
loop_
_atom_site_label
_atom_site_type_symbol
_atom_site_fract_x
_atom_site_fract_y
_atom_site_fract_z
In1 In 0.0000 0.0000 0.0000
Hg1 Hg 0.0000 0.0000 0.5000
F1 F 0.2500 0.2500 0.2500